No. 1
DFT (GGA-PBE) results for an optimized crystal structure of Ac2TbRh.

a b c (Å): 5.5835 5.5835 13.4763
angles (deg): 90.00 90.00 120.00
Space group R-3m (No. 166, hexagonal axes)
Symmetry-distinct sites (fractional):
Ac: 0.0000 0.0000 0.2486 [6 per cell]
Tb: 0.0000 0.0000 0.5000 [3 per cell]
Rh: 0.0000 0.0000 0.0000 [3 per cell]

Output
Density, g cm⁻³: 9.80
Total moment, μB per atom: 0.000
Calculated formation energy, eV per atom: 0.074
Total energy, eV per cell: -59.70

=====

No. 2
DFT (GGA-PBE) results for an optimized crystal structure of Ac5TbRh4.

a b c (Å): 18.362 4.303 8.290
angles (deg): 90.00 104.75 90.00
Space group C2/m (No. 12)
Symmetry-distinct sites (fractional):
Ac: 0.000 0.000 0.000 [2 per cell]
Ac: 0.162 0.500 0.832 [4 per cell]
Ac: 0.165 0.500 0.349 [4 per cell]
Tb: 0.000 0.000 0.500 [2 per cell]
Rh: 0.001 0.500 0.252 [4 per cell]
Rh: 0.169 0.000 0.603 [4 per cell]

Output
Density, g cm⁻³: 8.94
Total moment, μB per atom: 0.000
Calculated formation energy, eV per atom: -0.602
Total energy, eV per cell: -121.19

=====

No. 3
DFT (GGA-PBE) results for an optimized crystal structure of Ac2TbRh.

a b c (Å): 3.787 3.787 9.071
angles (deg): 90.00 90.00 90.00
Space group P4/mmm (No. 123)
Symmetry-distinct sites (fractional):
Ac: 0.000 0.000 0.195 [2 per cell]
Tb: 0.500 0.500 0.500 [1 per cell]
Rh: 0.500 0.500 0.000 [1 per cell]

Output
Density, g cm⁻³: 9.14
Total moment, μB per atom: 0.155
Calculated formation energy, eV per atom: -0.198
Total energy, eV per cell: -20.99

=====

Number 1: D(E_F) 1.252 states/eV/atom. Number 2: D(E_F) 0.611 states/eV/atom. Number 3: D(E_F) 1.491 states/eV/atom.